{
  "formula": "LiScIn3",
  "functional": "PBE",
  "state": "optimized geometry",
  "cell": [[6.602, -4.949, 0.000], [6.602, 4.949, 0.000], [-0.003, 0.000, 7.256]],
  "species": ["Li", "Li", "Li", "Li", "Sc", "Sc", "Sc", "Sc", "In", "In", "In", "In", "In", "In", "In", "In", "In", "In", "In", "In"],
  "frac_coords": [[0.180, 0.281, 0.250], [0.281, 0.180, 0.750], [0.719, 0.820, 0.250], [0.820, 0.719, 0.750], [0.010, 0.990, 0.750], [0.314, 0.686, 0.750], [0.686, 0.314, 0.250], [0.990, 0.010, 0.250], [0.052, 0.674, 0.456], [0.052, 0.675, 0.044], [0.325, 0.948, 0.456], [0.326, 0.948, 0.044], [0.386, 0.387, 0.000], [0.387, 0.386, 0.500], [0.613, 0.614, 0.500], [0.614, 0.613, 0.000], [0.674, 0.052, 0.956], [0.675, 0.052, 0.544], [0.948, 0.325, 0.956], [0.948, 0.326, 0.544]]
}

=====

{
  "formula": "LiSc2In2",
  "functional": "PBE",
  "state": "optimized geometry",
  "cell": [[8.751, 0.000, 0.000], [0.000, 8.751, 0.000], [0.000, 0.000, 3.204]],
  "species": ["Li", "Li", "Sc", "Sc", "Sc", "Sc", "In", "In", "In", "In"],
  "frac_coords": [[0.000, 0.000, 0.000], [0.500, 0.500, 0.000], [0.121, 0.379, 0.000], [0.379, 0.879, 0.000], [0.621, 0.121, 0.000], [0.879, 0.621, 0.000], [0.178, 0.678, 0.500], [0.322, 0.178, 0.500], [0.678, 0.822, 0.500], [0.822, 0.322, 0.500]]
}

=====

{
  "formula": "Li2ScIn9",
  "functional": "PBE",
  "state": "optimized geometry",
  "cell": [[4.501, 0.000, 0.000], [0.000, 4.501, 0.000], [0.000, 0.000, 13.915]],
  "species": ["Li", "Li", "Sc", "In", "In", "In", "In", "In", "In", "In", "In", "In"],
  "frac_coords": [[0.000, 0.000, 0.175], [0.000, 0.000, 0.825], [0.000, 0.000, 0.500], [0.000, 0.500, 0.000], [0.000, 0.500, 0.333], [0.000, 0.500, 0.667], [0.500, 0.000, 0.000], [0.500, 0.000, 0.333], [0.500, 0.000, 0.667], [0.500, 0.500, 0.170], [0.500, 0.500, 0.500], [0.500, 0.500, 0.830]]
}

=====

{
  "formula": "LiScIn2",
  "functional": "PBE",
  "state": "optimized geometry",
  "cell": [[-2.213, 2.213, 10.044], [2.213, -2.213, 10.044], [2.213, 2.213, -10.044]],
  "species": ["Li", "Li", "Sc", "Sc", "In", "In", "In", "In"],
  "frac_coords": [[0.000, 0.000, 0.000], [0.750, 0.250, 0.500], [0.250, 0.750, 0.500], [0.500, 0.500, 0.000], [0.113, 0.625, 0.988], [0.375, 0.363, 0.488], [0.637, 0.125, 0.012], [0.875, 0.887, 0.512]]
}

=====

{
  "formula": "Li2ScIn2",
  "functional": "PBE",
  "state": "optimized geometry",
  "cell": [[8.048, 0.000, 0.000], [0.000, 8.048, 0.000], [0.000, 0.000, 3.243]],
  "species": ["Li", "Li", "Li", "Li", "Sc", "Sc", "In", "In", "In", "In"],
  "frac_coords": [[0.166, 0.334, 0.000], [0.334, 0.834, 0.000], [0.666, 0.166, 0.000], [0.834, 0.666, 0.000], [0.000, 0.000, 0.500], [0.500, 0.500, 0.500], [0.135, 0.635, 0.500], [0.365, 0.135, 0.500], [0.635, 0.865, 0.500], [0.865, 0.365, 0.500]]
}

=====

{
  "formula": "LiScIn2",
  "functional": "PBE",
  "state": "optimized geometry",
  "cell": [[0.000, 3.492, 3.492], [3.492, 0.000, 3.492], [3.492, 3.492, 0.000]],
  "species": ["Li", "Sc", "In", "In"],
  "frac_coords": [[0.000, 0.000, 0.000], [0.500, 0.500, 0.500], [0.250, 0.250, 0.250], [0.750, 0.750, 0.750]]
}

=====

{
  "formula": "Li2Sc2In3",
  "functional": "PBE",
  "state": "optimized geometry",
  "cell": [[2.225, -10.596, 0.000], [2.225, 10.596, 0.000], [0.000, 0.000, 3.099]],
  "species": ["Li", "Li", "Sc", "Sc", "In", "In", "In"],
  "frac_coords": [[0.216, 0.784, 0.000], [0.784, 0.216, 0.000], [0.075, 0.925, 0.000], [0.925, 0.075, 0.000], [0.344, 0.656, 0.500], [0.500, 0.500, 0.500], [0.656, 0.344, 0.500]]
}

=====

{
  "formula": "LiSc2In2",
  "functional": "PBE",
  "state": "optimized geometry",
  "cell": [[7.222, 0.000, 0.000], [0.000, 7.222, 0.000], [0.000, 0.000, 4.399]],
  "species": ["Li", "Li", "Sc", "Sc", "Sc", "Sc", "In", "In", "In", "In"],
  "frac_coords": [[0.000, 0.000, 0.000], [0.500, 0.500, 0.000], [0.161, 0.339, 0.500], [0.339, 0.839, 0.500], [0.661, 0.161, 0.500], [0.839, 0.661, 0.500], [0.145, 0.645, 0.000], [0.355, 0.145, 0.000], [0.645, 0.855, 0.000], [0.855, 0.355, 0.000]]
}

=====

no.,DFT formation energy (meV per atom),M_tot (μB/cell),total DFT energy (no corrections) (Ha/atom)
1,-152,0.4,-0.1266
2,-196,0.7,-0.1546
3,-175,0.0,-0.1130
4,39,0.0,-0.1246
5,-181,1.7,-0.1216
6,-350,0.0,-0.1389
7,-325,0.7,-0.1417
8,-276,0.0,-0.1575